(1)
Ba3GaPb2 | PBE-GGA | relaxed

Values from the calculation:
calculated density = 6039 kg/m³
total magnetic moment = 0.00 μB per atom
DFT total energy = -76.8 eV for the cell shown
formation energy from the elements = -0.50 eV/atom
crystal system = orthorhombic

Cell: 14.088 4.872 14.360 Å, 90.00 90.00 90.00°
Atoms (fractional coordinates):
Ba (0.067, 0.250, 0.120)
Ba (0.119, 0.750, 0.551)
Ba (0.202, 0.250, 0.796)
Ba (0.298, 0.750, 0.296)
Ba (0.381, 0.250, 0.051)
Ba (0.433, 0.750, 0.620)
Ba (0.567, 0.250, 0.380)
Ba (0.619, 0.750, 0.949)
Ba (0.702, 0.250, 0.704)
Ba (0.798, 0.750, 0.204)
Ba (0.881, 0.250, 0.449)
Ba (0.933, 0.750, 0.880)
Ga (0.144, 0.250, 0.348)
Ga (0.356, 0.750, 0.848)
Ga (0.644, 0.250, 0.152)
Ga (0.856, 0.750, 0.652)
Pb (0.030, 0.750, 0.316)
Pb (0.198, 0.750, 0.985)
Pb (0.302, 0.250, 0.485)
Pb (0.470, 0.250, 0.816)
Pb (0.530, 0.750, 0.184)
Pb (0.698, 0.750, 0.515)
Pb (0.802, 0.250, 0.015)
Pb (0.970, 0.250, 0.684)

***

(2)
Ba2GaPb3 | PBE-GGA | relaxed

Values from the calculation:
calculated density = 7137 kg/m³
total magnetic moment = 0.00 μB per atom
DFT total energy = -40.7 eV for the cell shown
E above lowest polymorph = 30 meV/atom
formation energy from the elements = -0.39 eV/atom
crystal system = orthorhombic

Cell: 10.068 9.953 7.230 Å, 69.69 67.98 42.33°
Atoms (fractional coordinates):
Ba (0.240, 0.760, 0.760)
Ba (0.250, 0.250, 0.250)
Ba (0.750, 0.750, 0.750)
Ba (0.760, 0.240, 0.240)
Ga (0.335, 0.335, 0.665)
Ga (0.665, 0.665, 0.335)
Pb (0.173, 0.173, 0.827)
Pb (0.178, 0.644, 0.356)
Pb (0.356, 0.822, 0.178)
Pb (0.644, 0.178, 0.822)
Pb (0.822, 0.356, 0.644)
Pb (0.827, 0.827, 0.173)

***

(3)
Ba5Ga2Pb | PBE-GGA | relaxed

Values from the calculation:
calculated density = 5046 kg/m³
total magnetic moment = 0.17 μB per atom
DFT total energy = -44.9 eV for the cell shown
formation energy from the elements = -0.39 eV/atom
crystal system = tetragonal

Cell: 10.701 10.701 10.701 Å, 131.14 131.14 71.59°
Atoms (fractional coordinates):
Ba (0.000, 0.000, 0.000)
Ba (0.038, 0.538, 0.861)
Ba (0.178, 0.038, 0.500)
Ba (0.322, 0.822, 0.861)
Ba (0.462, 0.322, 0.500)
Ba (0.500, 0.500, 0.000)
Ba (0.538, 0.678, 0.500)
Ba (0.678, 0.178, 0.139)
Ba (0.822, 0.962, 0.500)
Ba (0.962, 0.462, 0.139)
Ga (0.102, 0.398, 0.500)
Ga (0.398, 0.898, 0.296)
Ga (0.602, 0.102, 0.704)
Ga (0.898, 0.602, 0.500)
Pb (0.250, 0.250, 0.000)
Pb (0.750, 0.750, 0.000)